# 1
{
  "formula": "MgZrReAs",
  "functional": "PBE",
  "state": "relaxed",
  "vol_a3_per_atom": 16.9,
  "mass_density_g_cm3": 9.23,
  "magmom_total_mub_per_fu": 0.0,
  "e_above_lowest_polymorph_mev_per_atom": 0,
  "space_group": "No. 216",
  "lattice_angstrom": [[0.000, 3.236, 3.236], [3.236, 0.000, 3.236], [3.236, 3.236, 0.000]],
  "species": ["Mg", "Zr", "Re", "As"],
  "fractional_positions": [[0.000, 0.000, 0.000], [0.750, 0.750, 0.750], [0.500, 0.500, 0.500], [0.250, 0.250, 0.250]]
}

---

# 2
{
  "formula": "MgZrReAs",
  "functional": "PBE",
  "state": "relaxed",
  "vol_a3_per_atom": 17.6,
  "mass_density_g_cm3": 8.90,
  "magmom_total_mub_per_fu": 0.0,
  "e_above_lowest_polymorph_mev_per_atom": 37,
  "space_group": "No. 216",
  "lattice_angstrom": [[0.000, 3.276, 3.276], [3.276, 0.000, 3.276], [3.276, 3.276, 0.000]],
  "species": ["Mg", "Zr", "Re", "As"],
  "fractional_positions": [[0.000, 0.000, 0.000], [0.500, 0.500, 0.500], [0.250, 0.250, 0.250], [0.750, 0.750, 0.750]]
}

---

# 3
{
  "formula": "MgZrReAs",
  "functional": "PBE",
  "state": "relaxed",
  "vol_a3_per_atom": 17.1,
  "mass_density_g_cm3": 9.14,
  "magmom_total_mub_per_fu": 0.0,
  "e_above_lowest_polymorph_mev_per_atom": 132,
  "space_group": "No. 216",
  "lattice_angstrom": [[0.000, 3.246, 3.246], [3.246, 0.000, 3.246], [3.246, 3.246, 0.000]],
  "species": ["Mg", "Zr", "Re", "As"],
  "fractional_positions": [[0.000, 0.000, 0.000], [0.750, 0.750, 0.750], [0.250, 0.250, 0.250], [0.500, 0.500, 0.500]]
}

---

# 4
{
  "formula": "MgSbAsW",
  "functional": "PBE",
  "state": "relaxed",
  "vol_a3_per_atom": 19.4,
  "mass_density_g_cm3": 8.66,
  "magmom_total_mub_per_fu": 1.3,
  "e_above_lowest_polymorph_mev_per_atom": 377,
  "space_group": "No. 216",
  "lattice_angstrom": [[0.000, 3.385, 3.385], [3.385, 0.000, 3.385], [3.385, 3.385, 0.000]],
  "species": ["Mg", "Sb", "As", "W"],
  "fractional_positions": [[0.000, 0.000, 0.000], [0.500, 0.500, 0.500], [0.750, 0.750, 0.750], [0.250, 0.250, 0.250]]
}

---

# 5
{
  "formula": "MgSbAsW",
  "functional": "PBE",
  "state": "relaxed",
  "vol_a3_per_atom": 19.3,
  "mass_density_g_cm3": 8.72,
  "magmom_total_mub_per_fu": 1.7,
  "e_above_lowest_polymorph_mev_per_atom": 423,
  "space_group": "No. 216",
  "lattice_angstrom": [[0.000, 3.378, 3.378], [3.378, 0.000, 3.378], [3.378, 3.378, 0.000]],
  "species": ["Mg", "Sb", "As", "W"],
  "fractional_positions": [[0.000, 0.000, 0.000], [0.750, 0.750, 0.750], [0.500, 0.500, 0.500], [0.250, 0.250, 0.250]]
}

---

# 6
{
  "formula": "MgSbAsW",
  "functional": "PBE",
  "state": "relaxed",
  "vol_a3_per_atom": 18.5,
  "mass_density_g_cm3": 9.09,
  "magmom_total_mub_per_fu": 0.3,
  "e_above_lowest_polymorph_mev_per_atom": 0,
  "space_group": "No. 216",
  "lattice_angstrom": [[0.000, 3.331, 3.331], [3.331, 0.000, 3.331], [3.331, 3.331, 0.000]],
  "species": ["Mg", "Sb", "As", "W"],
  "fractional_positions": [[0.000, 0.000, 0.000], [0.750, 0.750, 0.750], [0.250, 0.250, 0.250], [0.500, 0.500, 0.500]]
}